(1)
ReSbOs4 (GGA-PBE, optimized geometry); raw formation energy = 1015.5 meV per atom; magnetic moment = 0.00 μB per formula unit
1.0
1.8509 3.3939 3.4724
-3.2730 2.9957 2.7047
-0.6959 -0.8405 5.0805
Re Sb Os
1 1 4
Direct
0.7500 0.7500 0.7500 Re
0.0000 0.0000 0.0000 Sb
0.8735 0.3755 0.3755 Os
0.3755 0.3755 0.8735 Os
0.3755 0.8735 0.3755 Os
0.3755 0.3755 0.3755 Os

---

(2)
Sm3DyCu4 (GGA-PBE, optimized geometry); calculated total energy = -4.593 eV/atom; magnetic moment = 0.00 μB per formula unit
1.0
-2.2655 1.5070 -2.2344
-1.2433 -3.1741 -0.8803
-9.5960 0.8932 10.3321
Cu Sm Dy
4 3 1
Direct
0.0000 0.0000 0.8822 Cu
0.0000 0.0000 0.1178 Cu
0.0000 0.0000 0.3744 Cu
0.0000 0.0000 0.6256 Cu
0.5000 0.5000 0.2474 Sm
0.5000 0.5000 0.5000 Sm
0.5000 0.5000 0.7526 Sm
0.5000 0.5000 0.0000 Dy

---

(3)
SrLiMg6 (GGA-PBE, optimized geometry); calculated total energy = -1.600 eV/atom; magnetic moment = 0.00 μB per formula unit
1.0
3.2399 -6.1646 0.0000
3.2399 6.1646 0.0000
0.0000 0.0000 5.2716
Sr Li Mg
1 1 6
Direct
0.3130 0.6870 0.5000 Sr
0.8556 0.1444 0.5000 Li
0.8139 0.6732 0.5000 Mg
0.3268 0.1861 0.5000 Mg
0.6834 0.8258 0.0000 Mg
0.1742 0.3166 0.0000 Mg
0.6881 0.3119 0.0000 Mg
0.1450 0.8550 0.0000 Mg

---

(4)
Al4NiIr3 (GGA-PBE, optimized geometry); calculated total energy = -6.785 eV/atom; magnetic moment = 0.00 μB per formula unit
1.0
-1.4754 1.1558 2.2919
-0.1043 -2.6684 1.2785
10.5759 2.2942 5.6514
Ni Ir Al
1 3 4
Direct
0.5000 0.5000 0.0000 Ni
0.5000 0.5000 0.2451 Ir
0.5000 0.5000 0.5000 Ir
0.5000 0.5000 0.7549 Ir
0.0000 0.0000 0.8842 Al
0.0000 0.0000 0.1158 Al
0.0000 0.0000 0.3720 Al
0.0000 0.0000 0.6280 Al

---

- Which formula does entry 1 have?
  ReSbOs4

---

- magnetic moment of number 3 (SrLiMg6)?
  0.00 μB per formula unit